# Tl2In3Au4 PBE optimized geometry
# calculated volume: 858.4 Å³ per cell
# ΔH_f (0 K): -0.125 eV per atom
data_Tl2In3Au4
_chemical_formula_sum 'Tl8 In12 Au16'
_cell_length_a 6.428
_cell_length_b 18.211
_cell_length_c 7.333
_cell_angle_alpha 90.00
_cell_angle_beta 90.00
_cell_angle_gamma 90.00
_symmetry_space_group_name_H-M 'C m c e'
_symmetry_Int_Tables_number 64
_symmetry_space_group_name_Hall '-C 2ac 2'
loop_
_atom_site_label
_atom_site_fract_x
_atom_site_fract_y
_atom_site_fract_z
Tl1 0.000 0.090 0.103
In1 0.000 0.000 0.500
In2 0.250 0.243 0.750
Au1 0.000 0.167 0.480
Au2 0.250 0.082 0.750

=====

# PrHo8Cd2 PBE optimized geometry
# calculated volume: 754.6 Å³ per cell
# ΔH_f (0 K): 0.333 eV per atom
data_PrHo8Cd2
_chemical_formula_sum 'Pr2 Ho16 Cd4'
_cell_length_a 13.809
_cell_length_b 10.539
_cell_length_c 5.283
_cell_angle_alpha 90.00
_cell_angle_beta 101.05
_cell_angle_gamma 90.00
_symmetry_space_group_name_H-M 'C 1 2/m 1'
_symmetry_Int_Tables_number 12
loop_
_symmetry_equiv_pos_as_xyz
'x,y,z'
'-x,-y,-z'
'-x,y,-z'
'x,-y,z'
'x+1/2,y+1/2,z'
'-x+1/2,-y+1/2,-z'
'-x+1/2,y+1/2,-z'
'x+1/2,-y+1/2,z'
loop_
_atom_site_label
_atom_site_fract_x
_atom_site_fract_y
_atom_site_fract_z
Pr1 0.000 0.000 0.000
Ho1 0.083 0.500 0.291
Ho2 0.097 0.268 0.790
Ho3 0.239 0.000 0.117
Cd1 0.136 0.000 0.559

=====

# MnInSb2 PBE optimized geometry
# energy relative to the elements, uncorrected: 0.291 eV/atom
# calculated volume: 194.7 Å³ per cell
data_MnInSb2
_chemical_formula_sum 'Mn2 In2 Sb4'
_cell_length_a 6.350
_cell_length_b 7.956
_cell_length_c 3.854
_cell_angle_alpha 90.00
_cell_angle_beta 90.00
_cell_angle_gamma 90.00
_symmetry_space_group_name_H-M 'C m m m'
_symmetry_Int_Tables_number 65
_symmetry_space_group_name_Hall '-C 2 2'
loop_
_atom_site_label
_atom_site_fract_x
_atom_site_fract_y
_atom_site_fract_z
Mn1 0.000 0.000 0.000
In1 0.000 0.500 0.000
Sb1 0.250 0.250 0.500

=====

# CsCdPt PBE optimized geometry
# calculated volume: 483.7 Å³ per cell
# ΔH_f (0 K): -0.061 eV per atom
data_CsCdPt
_chemical_formula_sum 'Cs4 Cd4 Pt4'
_cell_length_a 8.199
_cell_length_b 5.059
_cell_length_c 13.423
_cell_angle_alpha 90.00
_cell_angle_beta 119.67
_cell_angle_gamma 90.00
_symmetry_space_group_name_H-M 'P 1 21/c 1'
_symmetry_Int_Tables_number 14
loop_
_symmetry_equiv_pos_as_xyz
'x,y,z'
'-x,-y,-z'
'-x,y+1/2,-z+1/2'
'x,-y+1/2,z+1/2'
loop_
_atom_site_label
_atom_site_fract_x
_atom_site_fract_y
_atom_site_fract_z
Cs1 0.173 0.250 0.427
Cd1 0.371 0.749 0.227
Pt1 0.253 0.249 0.203